Entry 1:
DFT (GGA-PBE) results for a relaxed GaCuW4C2 crystal.

Lattice parameters (Å, degrees): 3.0637 3.0637 13.1097 90.00 90.00 120.00
Positions (direct):
Ga 0.0000 0.0000 0.0000
Cu 0.3333 0.6667 0.5000
W 0.0000 0.0000 0.3409
W 0.0000 0.0000 0.6591
W 0.3333 0.6667 0.1623
W 0.3333 0.6667 0.8377
C 0.6667 0.3333 0.2523
C 0.6667 0.3333 0.7477

ρ: 13.91 g/cm³
Calculated total energy: -9.44 eV per atom

Entry 2:
DFT (GGA-PBE) results for a relaxed HoLuSnC crystal.

Lattice parameters (Å, degrees): 3.5654 3.5654 15.6220 90.00 90.00 120.00
Positions (direct):
Ho 0.3333 0.6667 0.0854
Ho 0.6667 0.3333 0.9146
Lu 0.3333 0.6667 0.4175
Lu 0.6667 0.3333 0.5825
Sn 0.3333 0.6667 0.7472
Sn 0.6667 0.3333 0.2528
C 0.0000 0.0000 0.0000
C 0.0000 0.0000 0.5000

ρ: 9.09 g/cm³
Calculated total energy: -6.17 eV per atom

Entry 3:
DFT (GGA-PBE) results for a relaxed Li2PIr2 crystal.

Lattice parameters (Å, degrees): 5.9069 5.9069 4.3251 90.00 90.00 90.00
Positions (direct):
Li 0.1599 0.3401 0.0000
Li 0.3401 0.8401 0.0000
Li 0.6599 0.1599 0.0000
Li 0.8401 0.6599 0.0000
P 0.0000 0.0000 0.5000
P 0.5000 0.5000 0.5000
Ir 0.1520 0.6520 0.5000
Ir 0.3480 0.1520 0.5000
Ir 0.6520 0.8480 0.5000
Ir 0.8480 0.3480 0.5000

ρ: 9.45 g/cm³
Calculated total energy: -5.86 eV per atom

Entry 4:
DFT (GGA-PBE) results for a relaxed TbHoNi2Sn4 crystal.

Lattice parameters (Å, degrees): 4.4463 9.5590 9.5590 25.83 90.00 90.00
Positions (direct):
Tb 0.0000 0.0000 0.0000
Ho 0.5000 0.2197 0.2197
Ni 0.0000 0.7864 0.7864
Ni 0.5000 0.4329 0.4329
Sn 0.0000 0.3623 0.3623
Sn 0.0000 0.6557 0.6557
Sn 0.5000 0.5640 0.5640
Sn 0.5000 0.8569 0.8569

ρ: 8.59 g/cm³
Calculated total energy: -5.04 eV per atom

Entry 5:
DFT (GGA-PBE) results for a relaxed Pr2ErIn3AgPd2 crystal.

Lattice parameters (Å, degrees): 3.9064 7.8785 7.8785 119.71 90.00 90.00
Positions (direct):
Pr 0.0000 0.2046 0.7954
Pr 0.0000 0.7954 0.2046
Er 0.0000 0.3859 0.3859
In 0.5000 0.0653 0.0653
In 0.5000 0.5297 0.7899
In 0.5000 0.7899 0.5297
Ag 0.0000 0.7920 0.7920
Pd 0.5000 0.1352 0.4595
Pd 0.5000 0.4595 0.1352

ρ: 8.79 g/cm³
Calculated total energy: -4.61 eV per atom

Entry 6:
DFT (GGA-PBE) results for a relaxed LaHfTaIr2 crystal.

Lattice parameters (Å, degrees): 6.1696 6.1696 6.1696 135.34 135.34 65.00
Positions (direct):
La 0.0000 0.0000 0.0000
Hf 0.6482 0.6482 0.0000
Ta 0.3644 0.3644 0.0000
Ir 0.2668 0.7668 0.5000
Ir 0.7668 0.2668 0.5000

ρ: 12.82 g/cm³
Calculated total energy: -9.18 eV per atom